First-principles (PBE-GGA) data for a geometry-optimized La2ReMo structure, as listed in Alexandria.

Calculated values
Space group = I-4m2 (119)
ΔH_f (0 K) = 0.78 eV/atom

Lattice parameters (Å, degrees): 5.8505 5.8505 5.8505 137.92 137.92 61.03
Sites, in units of the cell vectors:
La: 0.0000 0.0000 0.0000
La: 0.7500 0.2500 0.5000
Re: 0.5000 0.5000 0.0000
Mo: 0.2500 0.7500 0.5000

First-principles (PBE-GGA) data for a geometry-optimized AsRhS2Cl structure, as listed in Alexandria.

Calculated values
Space group = P4/mmm (123)
Formation energy without anion corrections = 800 meV/atom

Lattice parameters (Å, degrees): 4.8184 4.8184 4.7309 90.00 90.00 90.00
Sites, in units of the cell vectors:
As: 0.0000 0.0000 0.0000
Rh: 0.5000 0.5000 0.5000
S: 0.0000 0.5000 0.0000
S: 0.5000 0.0000 0.0000
Cl: 0.0000 0.0000 0.5000

First-principles (PBE-GGA) data for a geometry-optimized YTaCr2 structure, as listed in Alexandria.

Calculated values
Space group = R-3m (166)
ΔH_f (0 K) = 0.67 eV/atom

Lattice parameters (Å, degrees): 8.7722 8.7722 8.7722 20.70 20.70 20.70
Sites, in units of the cell vectors:
Y: 0.0000 0.0000 0.0000
Ta: 0.5000 0.5000 0.5000
Cr: 0.2400 0.2400 0.2400
Cr: 0.7600 0.7600 0.7600

First-principles (PBE-GGA) data for a geometry-optimized ZrPtW2 structure, as listed in Alexandria.

Calculated values
Space group = P4/mmm (123)
ΔH_f (0 K) = 0.04 eV/atom

Lattice parameters (Å, degrees): 2.7842 2.7842 8.9093 90.00 90.00 90.00
Sites, in units of the cell vectors:
Zr: 0.0000 0.0000 0.0000
Pt: 0.0000 0.0000 0.5000
W: 0.5000 0.5000 0.2708
W: 0.5000 0.5000 0.7292

Number 1: size of the total moment 0.00 μB/cell. Number 2: size of the total moment 2.50 μB/cell. Number 3: size of the total moment 3.59 μB/cell. Number 4: size of the total moment 0.00 μB/cell.